Compound: Hf2Ge2Pd
Source: the Alexandria database
Functional: GGA-PBE
Structure: relaxed

Cell: 6.6168 6.6168 4.0409 Å, 90.00 90.00 90.00°
Last column: nearest neighbours and their distance in Å.
Sites, in units of the cell vectors:
Hf (0.1727, 0.6727, 0.5000)  6 Ge 2.72-2.87
Hf (0.6727, 0.8273, 0.5000)  6 Ge 2.72-2.87
Hf (0.3273, 0.1727, 0.5000)  6 Ge 2.72-2.87
Hf (0.8273, 0.3273, 0.5000)  6 Ge 2.72-2.87
Pd (0.5000, 0.5000, 0.0000)  4 Ge 2.58
Pd (0.0000, 0.0000, 0.0000)  4 Ge 2.58
Ge (0.8672, 0.6328, 0.0000)  1 Ge 2.48, 2 Pd 2.58, 2 Hf 2.72
Ge (0.3672, 0.8672, 0.0000)  1 Ge 2.48, 2 Pd 2.58, 2 Hf 2.72
Ge (0.1328, 0.3672, 0.0000)  1 Ge 2.48, 2 Pd 2.58, 2 Hf 2.72
Ge (0.6328, 0.1328, 0.0000)  1 Ge 2.48, 2 Pd 2.58, 2 Hf 2.72

Calculated values
**Calculated formation energy**: -682 meV/atom
**Calculated density**: 11426 kg/m³
**Fermi-level density of states**: 5.1 states/eV per cell
**Space-group type**: P4/mbm (127)

=====

Compound: GaCo3H
Source: the Alexandria database
Functional: GGA-PBE
Structure: relaxed

Cell: 3.7102 7.5475 3.7102 Å, 74.74 91.27 105.26°
Last column: nearest neighbours and their distance in Å.
Sites, in units of the cell vectors:
Co (0.8707, 0.1467, 0.7971)  1 H 1.75
Co (0.4934, 0.3715, 0.6854)  8 Co 2.42-2.65, 4 Ga 2.52-2.57
Co (0.2397, 0.8848, 0.9406)  2 H 1.60-1.69
Co (0.9825, 0.3715, 0.1745)  8 Co 2.42-2.65, 4 Ga 2.52-2.57
Co (0.7273, 0.8848, 0.4282)  2 H 1.60-1.69
Co (0.5914, 0.6050, 0.0765)  1 H 1.64
H (0.7025, 0.8984, 0.9654)  3 Co 1.69-1.75, 1 H 1.77
H (0.9050, 0.7571, 0.7629)  3 Co 1.60-1.64, 1 H 1.77
Ga (0.3529, 0.1239, 0.3150)  12 Co 2.50-2.69
Ga (0.1321, 0.6197, 0.5358)  1 H 1.86

Calculated values
**Calculated density**: 8513 kg/m³
**Fermi-level density of states**: 10.8 states/eV per cell
**Space-group type**: Cm (8)

=====

Number 1: energy -7.5486 eV per atom, offset from the most stable computed form 8 meV per atom. Number 2: energy -5.5632 eV per atom, offset from the most stable computed form 80 meV per atom.